(1)
# NaNd3Ti2Sb2O14 (PBEsol, relaxed)
# Formation energy without anion corrections, meV/atom: -2691
# Energy above the most stable polymorph in this dataset, meV per atom: 0
data_NaNd3Ti2Sb2O14
_symmetry_space_group_name_H-M 'P 1'
_symmetry_Int_Tables_number 1
_cell_length_a 7.294
_cell_length_b 7.354
_cell_length_c 10.361
_cell_angle_alpha 89.66
_cell_angle_beta 90.00
_cell_angle_gamma 90.00
loop_
_symmetry_equiv_pos_as_xyz
'x,y,z'
loop_
_atom_site_label
_atom_site_type_symbol
_atom_site_fract_x
_atom_site_fract_y
_atom_site_fract_z
_atom_site_occupancy
Ti1 Ti 0.000 0.000 0.000 1
O1 O 0.444 0.813 0.131 1
Sb1 Sb 0.500 0.000 0.000 1
Nd1 Nd 0.257 0.750 0.750 1
O2 O 0.051 0.695 0.378 1
O3 O 0.251 0.001 0.626 1
O4 O 0.749 0.501 0.126 1
Ti2 Ti 0.238 0.750 0.250 1
O5 O 0.045 0.199 0.123 1
O6 O 0.231 0.501 0.181 1
Sb2 Sb 0.245 0.250 0.250 1
O7 O 0.251 0.499 0.874 1
O8 O 0.751 0.500 0.424 1
Sb3 Sb 0.755 0.750 0.750 1
O9 O 0.751 0.000 0.076 1
Na1 Na 0.500 0.000 0.500 1
Ti3 Ti 0.000 0.500 0.500 1
O10 O 0.231 0.999 0.319 1
O11 O 0.769 0.499 0.819 1
O12 O 0.556 0.313 0.631 1
Ti4 Ti 0.762 0.250 0.750 1
O13 O 0.249 0.500 0.576 1
O14 O 0.556 0.187 0.869 1
O15 O 0.769 0.001 0.681 1
Nd2 Nd 0.000 0.000 0.500 1
O16 O 0.548 0.700 0.627 1
O17 O 0.548 0.800 0.873 1
Na2 Na 0.500 0.500 0.000 1
O18 O 0.949 0.305 0.622 1
Nd3 Nd 0.268 0.250 0.750 1
O19 O 0.949 0.195 0.878 1
O20 O 0.249 0.000 0.924 1
Sb4 Sb 0.500 0.500 0.500 1
Nd4 Nd 0.743 0.250 0.250 1
O21 O 0.051 0.805 0.122 1
O22 O 0.955 0.699 0.623 1
Nd5 Nd 0.732 0.750 0.250 1
Nd6 Nd 0.000 0.500 0.000 1
O23 O 0.452 0.200 0.127 1
O24 O 0.955 0.801 0.877 1
O25 O 0.045 0.301 0.377 1
O26 O 0.444 0.687 0.369 1
O27 O 0.452 0.300 0.373 1
O28 O 0.749 0.999 0.374 1

---

(2)
# Mg3Sc (PBEsol, relaxed)
# Energy of formation, eV/f.u.: 0.09
data_Mg3Sc
_symmetry_space_group_name_H-M 'P 1'
_symmetry_Int_Tables_number 1
_cell_length_a 3.173
_cell_length_b 3.173
_cell_length_c 10.662
_cell_angle_alpha 81.44
_cell_angle_beta 81.44
_cell_angle_gamma 60.00
loop_
_symmetry_equiv_pos_as_xyz
'x,y,z'
loop_
_atom_site_label
_atom_site_type_symbol
_atom_site_fract_x
_atom_site_fract_y
_atom_site_fract_z
_atom_site_occupancy
Mg1 Mg 0.250 0.250 0.250 1
Sc1 Sc 0.000 0.000 0.000 1
Mg2 Mg 0.750 0.750 0.750 1
Mg3 Mg 0.500 0.500 0.500 1

---

(3)
# KSbO2 (PBEsol, relaxed)
# Formation energy without anion corrections, meV/atom: -1200
data_KSbO2
_symmetry_space_group_name_H-M 'P 1'
_symmetry_Int_Tables_number 1
_cell_length_a 5.794
_cell_length_b 6.514
_cell_length_c 5.794
_cell_angle_alpha 63.60
_cell_angle_beta 90.00
_cell_angle_gamma 116.40
loop_
_symmetry_equiv_pos_as_xyz
'x,y,z'
loop_
_atom_site_label
_atom_site_type_symbol
_atom_site_fract_x
_atom_site_fract_y
_atom_site_fract_z
_atom_site_occupancy
K1 K 0.250 0.500 0.250 1
K2 K 0.500 0.000 0.500 1
Sb1 Sb 0.750 0.500 0.750 1
O1 O 0.375 0.250 0.041 1
O2 O 0.041 0.750 0.875 1
O3 O 0.875 0.250 0.709 1
Sb2 Sb 0.000 0.000 0.000 1
O4 O 0.709 0.750 0.375 1

---

(4)
# Si2HgBr (PBEsol, relaxed)
# Formation energy without anion corrections, meV/atom: 588
# Energy above the most stable polymorph in this dataset, meV per atom: 499
data_Si2HgBr
_symmetry_space_group_name_H-M 'P 1'
_symmetry_Int_Tables_number 1
_cell_length_a 4.859
_cell_length_b 4.835
_cell_length_c 4.859
_cell_angle_alpha 59.84
_cell_angle_beta 90.00
_cell_angle_gamma 120.16
loop_
_symmetry_equiv_pos_as_xyz
'x,y,z'
loop_
_atom_site_label
_atom_site_type_symbol
_atom_site_fract_x
_atom_site_fract_y
_atom_site_fract_z
_atom_site_occupancy
Si1 Si 0.000 0.000 0.000 1
Si2 Si 0.250 0.500 0.250 1
Br1 Br 0.500 0.000 0.500 1
Hg1 Hg 0.750 0.500 0.750 1

---

Volume per entry: 555.8 91.6 170.0 80.3 Å³/cell
Raw total energy per entry: -7.970 -2.916 -5.247 -2.895 eV/atom